Record 1
First-principles (PBE-GGA) data for a relaxed Nd3Ho5Th2 crystal, as listed in Alexandria.

## Properties
SG = C2/c, No. 15
total energy = -4.9927 eV/atom
total magnetization = 0.00 μB/f.u.

Unit cell a=8.9811 b=8.9634 c=11.2155 alpha=120.70 beta=120.74 gamma=73.91
With the nearest neighbours (Å) after each atom.
Element x y z (fractional)
Nd1 0.2231 0.9731 0.9461  1 Ho 3.32, 4 Th 3.34-3.61, 2 Nd 3.55
Nd2 0.7769 0.0269 0.0539  1 Ho 3.32, 4 Th 3.34-3.61, 2 Nd 3.55
Nd3 0.7320 0.4838 0.2544  1 Th 3.13, 6 Ho 3.36-3.48
Nd4 0.2680 0.5162 0.7456  1 Th 3.13, 6 Ho 3.36-3.48
Nd5 0.0225 0.7707 0.2544  1 Th 3.13, 6 Ho 3.36-3.48
Nd6 0.9775 0.2293 0.7456  1 Th 3.13, 6 Ho 3.36-3.48
Ho1 0.2790 0.5290 0.0581  1 Ho 3.24, 4 Nd 3.40-3.52, 2 Th 3.58
Ho2 0.7210 0.4710 0.9419  1 Ho 3.24, 4 Nd 3.40-3.52, 2 Th 3.58
Ho3 0.0309 0.7809 0.5617  5 Nd 3.32-3.48, 2 Th 3.51, 2 Ho 3.66
Ho4 0.5330 0.2830 0.5660  1 Ho 3.24, 4 Th 3.30-3.48, 2 Nd 3.45
Ho5 0.9691 0.2191 0.4383  5 Nd 3.32-3.48, 2 Th 3.51, 2 Ho 3.66
Ho6 0.4670 0.7170 0.4340  1 Ho 3.24, 4 Th 3.30-3.48, 2 Nd 3.45
Ho7 0.8643 0.6115 0.7272  2 Th 3.35-3.36, 2 Nd 3.37-3.41, 2 Ho 3.66-3.71
Ho8 0.1357 0.3885 0.2728  2 Th 3.35-3.36, 2 Nd 3.37-3.41, 2 Ho 3.66-3.71
Ho9 0.3629 0.1156 0.7272  2 Th 3.35-3.36, 2 Nd 3.37-3.41, 2 Ho 3.66-3.71
Ho10 0.6371 0.8844 0.2728  2 Th 3.35-3.36, 2 Nd 3.37-3.41, 2 Ho 3.66-3.71
Th1 0.7578 0.0087 0.7414  2 Nd 3.13-3.34, 4 Ho 3.30-3.48
Th2 0.2422 0.9913 0.2586  2 Nd 3.13-3.34, 4 Ho 3.30-3.48
Th3 0.4836 0.7326 0.7414  2 Nd 3.13-3.34, 4 Ho 3.30-3.48
Th4 0.5164 0.2674 0.2586  2 Nd 3.13-3.34, 4 Ho 3.30-3.48

Record 2
First-principles (PBE-GGA) data for a relaxed Nd4Ho2Th3 crystal, as listed in Alexandria.

## Properties
SG = P3m1, No. 156
total energy = -5.5192 eV/atom
offset from the most stable computed form = 38 meV per atom
total magnetization = 0.00 μB/f.u.

Unit cell a=3.5857 b=3.5857 c=27.1019 alpha=90.00 beta=90.00 gamma=120.00
With the nearest neighbours (Å) after each atom.
Element x y z (fractional)
Nd1 0.0000 0.0000 0.5464  9 Nd 3.59-3.77, 3 Th 3.62
Nd2 0.6667 0.3333 0.4302  9 Nd 3.59-3.77, 3 Th 3.62
Nd3 0.6667 0.3333 0.2122  1 Ho 3.39, 6 Nd 3.59, 3 Th 3.59
Nd4 0.0000 0.0000 0.7666  6 Nd 3.59, 3 Ho 3.60, 3 Th 3.65
Ho1 0.6667 0.3333 0.0870  1 Nd 3.39, 3 Th 3.49, 6 Ho 3.59
Ho2 0.6667 0.3333 0.8752  6 Ho 3.59, 3 Th 3.59, 3 Nd 3.60
Th1 0.0000 0.0000 0.9833  6 Ho 3.49-3.59, 6 Th 3.59
Th2 0.0000 0.0000 0.3204  6 Th 3.59, 6 Nd 3.59-3.62
Th3 0.6667 0.3333 0.6558  6 Th 3.59, 6 Nd 3.62-3.65

Record 3
First-principles (PBE-GGA) data for a relaxed Nd4Ho7Th crystal, as listed in Alexandria.

## Properties
SG = C2/m, No. 12
total energy = -4.5865 eV/atom
offset from the most stable computed form = 270 meV per atom
total magnetization = 0.00 μB/f.u.

Unit cell a=5.9626 b=11.6519 c=6.7774 alpha=83.77 beta=63.90 gamma=75.18
With the nearest neighbours (Å) after each atom.
Element x y z (fractional)
Nd1 0.6388 0.2226 0.4998  7 Ho 3.37-3.70, 2 Nd 3.67
Nd2 0.3612 0.7774 0.5002  7 Ho 3.37-3.70, 2 Nd 3.67
Nd3 0.7724 0.6682 0.7871  4 Ho 3.29-3.56, 2 Nd 3.67
Nd4 0.2276 0.3318 0.2129  4 Ho 3.29-3.56, 2 Nd 3.67
Ho1 0.7868 0.9236 0.5029  4 Ho 3.14-3.44, 1 Th 3.18, 4 Nd 3.36-3.41
Ho2 0.2132 0.0764 0.4971  4 Ho 3.14-3.44, 1 Th 3.18, 4 Nd 3.36-3.41
Ho3 0.0666 0.6846 0.1822  4 Ho 3.30-3.62, 1 Nd 3.69
Ho4 0.9334 0.3154 0.8178  4 Ho 3.30-3.62, 1 Nd 3.69
Ho5 0.3687 0.4956 0.7671  4 Ho 3.25-3.62, 5 Nd 3.29-3.57
Ho6 0.5000 0.0000 0.0000  2 Th 2.98, 2 Ho 3.14
Ho7 0.6313 0.5044 0.2329  4 Ho 3.25-3.62, 5 Nd 3.29-3.57
Th1 0.0000 0.0000 0.0000  4 Ho 2.98-3.18

Record 4
First-principles (PBE-GGA) data for a relaxed Nd3Ho4Th crystal, as listed in Alexandria.

## Properties
SG = P2/m, No. 10
total energy = -4.9812 eV/atom
offset from the most stable computed form = 0 meV per atom
total magnetization = 0.00 μB/f.u.

Unit cell a=3.6022 b=6.2352 c=11.7834 alpha=100.25 beta=89.99 gamma=90.00
With the nearest neighbours (Å) after each atom.
Element x y z (fractional)
Nd1 0.0000 0.0000 0.5000  6 Ho 3.57-3.60, 6 Nd 3.60
Nd2 0.5000 0.5000 0.5000  6 Nd 3.60, 6 Ho 3.60-3.62
Nd3 0.0000 0.5000 0.0000  6 Ho 3.54-3.56, 4 Th 3.60, 2 Nd 3.60
Ho1 0.0000 0.7563 0.7548  2 Th 3.51, 4 Nd 3.54-3.62, 6 Ho 3.55-3.65
Ho2 0.5000 0.2459 0.7516  1 Th 3.54, 6 Ho 3.55-3.65, 5 Nd 3.56-3.60
Ho3 0.0000 0.2437 0.2452  2 Th 3.51, 4 Nd 3.54-3.62, 6 Ho 3.55-3.65
Ho4 0.5000 0.7541 0.2484  1 Th 3.54, 6 Ho 3.55-3.65, 5 Nd 3.56-3.60
Th1 0.5000 0.0000 0.0000  6 Ho 3.51-3.54, 4 Nd 3.60, 2 Th 3.60

Record 5
First-principles (PBE-GGA) data for a relaxed Nd2Ho2Th15 crystal, as listed in Alexandria.

## Properties
SG = R-3m, No. 166
total energy = -6.5704 eV/atom
total magnetization = 0.00 μB/f.u.

Unit cell a=8.7647 b=8.7647 c=8.7647 alpha=82.12 beta=82.12 gamma=82.12
With the nearest neighbours (Å) after each atom.
Element x y z (fractional)
Nd1 0.6619 0.6619 0.6619  18 Th 4.03-4.47, 1 Ho 4.07
Nd2 0.3381 0.3381 0.3381  18 Th 4.03-4.47, 1 Ho 4.07
Ho1 0.8997 0.8997 0.8997  1 Ho 3.44, 6 Th 3.51-3.67
Ho2 0.1003 0.1003 0.1003  1 Ho 3.44, 6 Th 3.51-3.67
Th1 0.0000 0.5000 0.0000  8 Th 3.36-3.39, 2 Ho 3.51
Th2 0.0000 0.0000 0.5000  8 Th 3.36-3.39, 2 Ho 3.51
Th3 0.5000 0.0000 0.0000  8 Th 3.36-3.39, 2 Ho 3.51
Th4 0.3025 0.0000 0.6975  8 Th 3.36-3.57
Th5 0.6975 0.3025 0.0000  8 Th 3.36-3.57
Th6 0.0000 0.6975 0.3025  8 Th 3.36-3.57
Th7 0.3025 0.6975 0.0000  8 Th 3.36-3.57
Th8 0.0000 0.3025 0.6975  8 Th 3.36-3.57
Th9 0.6975 0.0000 0.3025  8 Th 3.36-3.57
Th10 0.3458 0.8264 0.3458  8 Th 3.20-3.57
Th11 0.3458 0.3458 0.8264  8 Th 3.20-3.57
Th12 0.8264 0.3458 0.3458  8 Th 3.20-3.57
Th13 0.6542 0.1736 0.6542  8 Th 3.20-3.57
Th14 0.6542 0.6542 0.1736  8 Th 3.20-3.57
Th15 0.1736 0.6542 0.6542  8 Th 3.20-3.57

Record 6
First-principles (PBE-GGA) data for a relaxed Nd4Ho5Th crystal, as listed in Alexandria.

## Properties
SG = P4/mmm, No. 123
total energy = -4.9230 eV/atom
offset from the most stable computed form = 0 meV per atom
total magnetization = 0.00 μB/f.u.

Unit cell a=3.6059 b=3.6059 c=25.2466 alpha=90.00 beta=90.00 gamma=90.00
With the nearest neighbours (Å) after each atom.
Element x y z (fractional)
Nd1 0.0000 0.0000 0.1985  8 Ho 3.60-3.64, 4 Nd 3.61
Nd2 0.0000 0.0000 0.3997  8 Ho 3.59-3.60, 4 Nd 3.61
Nd3 0.0000 0.0000 0.6003  8 Ho 3.59-3.60, 4 Nd 3.61
Nd4 0.0000 0.0000 0.8015  8 Ho 3.60-3.64, 4 Nd 3.61
Ho1 0.5000 0.5000 0.0955  4 Th 3.51, 4 Ho 3.61, 4 Nd 3.64
Ho2 0.5000 0.5000 0.2990  8 Nd 3.60, 4 Ho 3.61
Ho3 0.5000 0.5000 0.5000  8 Nd 3.59, 4 Ho 3.61
Ho4 0.5000 0.5000 0.7010  8 Nd 3.60, 4 Ho 3.61
Ho5 0.5000 0.5000 0.9045  4 Th 3.51, 4 Ho 3.61, 4 Nd 3.64
Th1 0.0000 0.0000 0.0000  8 Ho 3.51, 4 Th 3.61

Record 7
First-principles (PBE-GGA) data for a relaxed NdHo12Th3 crystal, as listed in Alexandria.

## Properties
SG = P4/mmm, No. 123
total energy = -5.0901 eV/atom
total magnetization = 0.00 μB/f.u.

Unit cell a=5.0131 b=5.0131 c=20.0199 alpha=90.00 beta=90.00 gamma=90.00
With the nearest neighbours (Å) after each atom.
Element x y z (fractional)
Nd1 0.0000 0.0000 0.0000  12 Ho 3.54-3.58
Ho1 0.5000 0.5000 0.0000  4 Nd 3.54, 8 Ho 3.58
Ho2 0.5000 0.5000 0.2509  8 Ho 3.51-3.54, 4 Th 3.54
Ho3 0.5000 0.5000 0.5000  8 Ho 3.53, 4 Th 3.54
Ho4 0.5000 0.5000 0.7491  8 Ho 3.51-3.54, 4 Th 3.54
Ho5 0.5000 0.0000 0.1279  8 Ho 3.51-3.58, 2 Th 3.52, 2 Nd 3.58
Ho6 0.5000 0.0000 0.3758  4 Th 3.53, 8 Ho 3.53-3.54
Ho7 0.5000 0.0000 0.6242  4 Th 3.53, 8 Ho 3.53-3.54
Ho8 0.5000 0.0000 0.8721  8 Ho 3.51-3.58, 2 Th 3.52, 2 Nd 3.58
Ho9 0.0000 0.5000 0.1279  8 Ho 3.51-3.58, 2 Th 3.52, 2 Nd 3.58
Ho10 0.0000 0.5000 0.3758  4 Th 3.53, 8 Ho 3.53-3.54
Ho11 0.0000 0.5000 0.6242  4 Th 3.53, 8 Ho 3.53-3.54
Ho12 0.0000 0.5000 0.8721  8 Ho 3.51-3.58, 2 Th 3.52, 2 Nd 3.58
Th1 0.0000 0.0000 0.2513  12 Ho 3.52-3.54
Th2 0.0000 0.0000 0.5000  12 Ho 3.53-3.54
Th3 0.0000 0.0000 0.7487  12 Ho 3.52-3.54

Record 8
First-principles (PBE-GGA) data for a relaxed Nd2Ho7Th crystal, as listed in Alexandria.

## Properties
SG = Cmmm, No. 65
total energy = -4.4426 eV/atom
total magnetization = 0.20 μB/f.u.

Unit cell a=3.4698 b=11.2557 c=11.2558 alpha=123.82 beta=90.00 gamma=90.00
With the nearest neighbours (Å) after each atom.
Element x y z (fractional)
Nd1 0.5000 0.6779 0.3221  5 Ho 3.45-3.53, 2 Nd 3.47
Nd2 0.5000 0.3221 0.6779  5 Ho 3.45-3.53, 2 Nd 3.47
Ho1 0.0000 0.8281 0.1719  1 Th 3.41, 6 Ho 3.43-3.47, 2 Nd 3.45
Ho2 0.0000 0.1719 0.8281  1 Th 3.41, 6 Ho 3.43-3.47, 2 Nd 3.45
Ho3 0.5000 0.1414 0.3097  6 Ho 3.34-3.47, 2 Th 3.39, 1 Nd 3.45
Ho4 0.5000 0.8586 0.6903  6 Ho 3.34-3.47, 2 Th 3.39, 1 Nd 3.45
Ho5 0.5000 0.3097 0.1414  6 Ho 3.34-3.47, 2 Th 3.39, 1 Nd 3.45
Ho6 0.5000 0.6903 0.8586  6 Ho 3.34-3.47, 2 Th 3.39, 1 Nd 3.45
Ho7 0.5000 0.5000 0.5000  6 Ho 3.35-3.47, 2 Nd 3.53
Th1 0.0000 0.0000 0.0000  10 Ho 3.39-3.41, 2 Th 3.47

Record 9
First-principles (PBE-GGA) data for a relaxed Nd5Ho2Th3 crystal, as listed in Alexandria.

## Properties
SG = C2/m, No. 12
total energy = -5.4738 eV/atom
total magnetization = 0.00 μB/f.u.

Unit cell a=5.0939 b=6.2791 c=13.0331 alpha=61.34 beta=78.73 gamma=66.07
With the nearest neighbours (Å) after each atom.
Element x y z (fractional)
Nd1 0.0000 0.0000 0.0000  6 Nd 3.62-3.65, 2 Th 3.63, 4 Ho 3.64
Nd2 0.1990 0.0026 0.5994  2 Ho 3.57, 7 Th 3.58-3.64, 3 Nd 3.60-3.61
Nd3 0.8010 0.9974 0.4006  2 Ho 3.57, 7 Th 3.58-3.64, 3 Nd 3.60-3.61
Nd4 0.6984 0.5001 0.1031  4 Ho 3.60-3.72, 2 Th 3.60, 6 Nd 3.60-3.67
Nd5 0.3016 0.4999 0.8969  4 Ho 3.60-3.72, 2 Th 3.60, 6 Nd 3.60-3.67
Ho1 0.4021 0.9899 0.2060  4 Th 3.55-3.66, 8 Nd 3.57-3.72
Ho2 0.5979 0.0101 0.7940  4 Th 3.55-3.66, 8 Nd 3.57-3.72
Th1 0.5000 0.5000 0.5000  2 Ho 3.55, 4 Th 3.59, 6 Nd 3.61-3.63
Th2 0.0974 0.5034 0.3018  3 Ho 3.57-3.66, 7 Nd 3.58-3.64, 2 Th 3.59
Th3 0.9026 0.4966 0.6982  3 Ho 3.57-3.66, 7 Nd 3.58-3.64, 2 Th 3.59